Entry w
The following is a meta-GGA SCAN calculation of a crystal of TaOs2Br relaxed with PBEsol, from the Alexandria database.

Output
- V: 63 Å³/cell
- M_tot: 0.00 μB per cell

The structure in POSCAR format:
```
TaOs2Br
1.0
0.000 3.159 3.159
3.159 0.000 3.159
3.159 3.159 0.000
Ta Os Br
1 2 1
Direct
0.000 0.000 0.000
0.250 0.250 0.250
0.500 0.500 0.500
0.750 0.750 0.750
```


Entry x
The following is a meta-GGA SCAN calculation of a crystal of TaOs2Br relaxed with PBEsol, from the Alexandria database.

Output
- V: 64 Å³/cell
- M_tot: 0.00 μB per cell

The structure in POSCAR format:
```
TaOs2Br
1.0
4.909 -1.446 0.000
4.909 1.446 0.000
-0.244 0.000 4.498
Ta Os Br
1 2 1
Direct
0.000 0.000 0.000
0.277 0.277 0.769
0.723 0.723 0.231
0.500 0.500 0.500
```


Entry y
The following is a meta-GGA SCAN calculation of a crystal of TaOs2Br relaxed with PBEsol, from the Alexandria database.

Output
- V: 63 Å³/cell
- M_tot: 0.00 μB per cell

The structure in POSCAR format:
```
TaOs2Br
1.0
-1.931 1.931 4.237
1.931 -1.931 4.237
1.931 1.931 -4.237
Ta Os Br
1 2 1
Direct
0.000 0.000 0.000
0.250 0.750 0.500
0.500 0.500 0.000
0.750 0.250 0.500
```


It is entry x that is the most stable of them.


Entry w
The following is a meta-GGA SCAN calculation of a crystal of Tc2OsBr relaxed with PBEsol, from the Alexandria database.

Output
- V: 62 Å³/cell
- M_tot: 0.00 μB per cell

The structure in POSCAR format:
```
Tc2OsBr
1.0
1.406 -2.375 0.000
1.406 2.375 0.000
0.000 0.000 9.289
Tc Os Br
2 1 1
Direct
0.000 0.000 0.236
0.000 0.000 0.764
0.500 0.500 0.000
0.500 0.500 0.500
```


Entry x
The following is a meta-GGA SCAN calculation of a crystal of Tc2OsBr relaxed with PBEsol, from the Alexandria database.

Output
- V: 60 Å³/cell
- M_tot: 0.00 μB per cell

The structure in POSCAR format:
```
Tc2OsBr
1.0
2.855 0.000 0.000
0.000 2.855 0.000
0.000 0.000 7.390
Tc Os Br
2 1 1
Direct
0.000 0.000 0.000
0.500 0.500 0.248
0.500 0.500 0.776
0.000 0.000 0.483
```


Entry y
The following is a meta-GGA SCAN calculation of a crystal of Tc2OsBr relaxed with PBEsol, from the Alexandria database.

Output
- V: 61 Å³/cell
- M_tot: 0.00 μB per cell

The structure in POSCAR format:
```
Tc2OsBr
1.0
4.850 -1.427 0.000
4.850 1.427 0.000
-0.257 0.000 4.387
Tc Os Br
2 1 1
Direct
0.000 0.000 0.000
0.708 0.708 0.271
0.439 0.439 0.455
0.221 0.221 0.748
```


Entry z
The following is a meta-GGA SCAN calculation of a crystal of Tc2OsBr relaxed with PBEsol, from the Alexandria database.

Output
- V: 59 Å³/cell
- M_tot: 0.00 μB per cell

The structure in POSCAR format:
```
Tc2OsBr
1.0
2.861 0.000 0.000
0.000 3.997 0.000
-1.347 0.000 5.177
Tc Os Br
2 1 1
Direct
0.121 0.000 0.242
0.879 0.000 0.758
0.500 0.500 0.000
0.500 0.500 0.500
```


It is entry x that is the most stable of them.


Entry w
The following is a meta-GGA SCAN calculation of a crystal of Te2OsBr relaxed with PBEsol, from the Alexandria database.

Output
- V: 84 Å³/cell
- M_tot: 0.02 μB per cell

The structure in POSCAR format:
```
Te2OsBr
1.0
0.000 3.470 3.470
3.470 0.000 3.470
3.470 3.470 0.000
Te Os Br
2 1 1
Direct
0.000 0.000 0.000
0.250 0.250 0.250
0.500 0.500 0.500
0.750 0.750 0.750
```


Entry x
The following is a meta-GGA SCAN calculation of a crystal of Te2OsBr relaxed with PBEsol, from the Alexandria database.

Output
- V: 84 Å³/cell
- M_tot: 0.18 μB per cell

The structure in POSCAR format:
```
Te2OsBr
1.0
3.300 0.000 0.000
0.000 4.793 0.000
0.000 0.000 5.319
Te Os Br
2 1 1
Direct
0.000 0.000 0.000
0.500 0.000 0.500
0.000 0.500 0.500
0.500 0.500 0.000
```


It is entry w that is the most stable of them.


Entry w
The following is a meta-GGA SCAN calculation of a crystal of OsW2Br relaxed with PBEsol, from the Alexandria database.

Output
- V: 62 Å³/cell
- M_tot: 0.00 μB per cell

The structure in POSCAR format:
```
OsW2Br
1.0
0.000 3.146 3.146
3.146 0.000 3.146
3.146 3.146 0.000
Os W Br
1 2 1
Direct
0.000 0.000 0.000
0.250 0.250 0.250
0.750 0.750 0.750
0.500 0.500 0.500
```


Entry x
The following is a meta-GGA SCAN calculation of a crystal of OsW2Br relaxed with PBEsol, from the Alexandria database.

Output
- V: 63 Å³/cell
- M_tot: 0.00 μB per cell

The structure in POSCAR format:
```
OsW2Br
1.0
1.441 0.832 8.706
-1.441 0.832 8.706
0.000 -1.664 8.706
Os W Br
1 2 1
Direct
0.000 0.000 0.000
0.251 0.251 0.251
0.749 0.749 0.749
0.500 0.500 0.500
```


Entry y
The following is a meta-GGA SCAN calculation of a crystal of OsW2Br relaxed with PBEsol, from the Alexandria database.

Output
- V: 64 Å³/cell
- M_tot: 0.00 μB per cell

The structure in POSCAR format:
```
OsW2Br
1.0
1.449 0.837 8.858
-1.449 0.837 8.858
0.000 -1.673 8.858
Os W Br
1 2 1
Direct
0.000 0.000 0.000
0.497 0.497 0.497
0.742 0.742 0.742
0.240 0.240 0.240
```


It is entry x that is the most stable of them.


Entry w
The following is a meta-GGA SCAN calculation of a crystal of YOsBr2 relaxed with PBEsol, from the Alexandria database.

Output
- V: 90 Å³/cell
- M_tot: 0.67 μB per cell

The structure in POSCAR format:
```
YOsBr2
1.0
3.233 0.000 0.000
0.000 3.233 0.000
0.000 0.000 8.565
Y Os Br
1 1 2
Direct
0.000 0.000 0.000
0.500 0.500 0.777
0.000 0.000 0.591
0.500 0.500 0.224
```


Entry x
The following is a meta-GGA SCAN calculation of a crystal of YOsBr2 relaxed with PBEsol, from the Alexandria database.

Output
- V: 91 Å³/cell
- M_tot: 0.00 μB per cell

The structure in POSCAR format:
```
YOsBr2
1.0
-1.655 2.115 6.529
1.655 -2.115 6.529
1.655 2.115 -6.529
Y Os Br
1 1 2
Direct
0.000 0.000 0.000
0.839 0.339 0.500
0.341 0.841 0.500
0.607 0.607 0.000
```


It is entry x that is the most stable of them.


Entry w
The following is a meta-GGA SCAN calculation of a crystal of PPbBr2 relaxed with PBEsol, from the Alexandria database.

Output
- V: 95 Å³/cell
- M_tot: 0.00 μB per cell

The structure in POSCAR format:
```
PPbBr2
1.0
1.747 1.009 9.019
-1.747 1.009 9.019
0.000 -2.017 9.019
P Pb Br
1 1 2
Direct
0.000 0.000 0.000
0.500 0.500 0.500
0.258 0.258 0.258
0.742 0.742 0.742
```


Entry x
The following is a meta-GGA SCAN calculation of a crystal of PPbBr2 relaxed with PBEsol, from the Alexandria database.

Output
- V: 98 Å³/cell
- M_tot: 0.00 μB per cell

The structure in POSCAR format:
```
PPbBr2
1.0
3.598 0.000 0.000
0.000 4.626 0.000
0.000 0.000 5.875
P Pb Br
1 1 2
Direct
0.000 0.000 0.000
0.500 0.000 0.500
0.000 0.500 0.500
0.500 0.500 0.000
```


It is entry x that is the most stable of them.


Entry w
The following is a meta-GGA SCAN calculation of a crystal of PPb2Br relaxed with PBEsol, from the Alexandria database.

Output
- V: 115 Å³/cell
- M_tot: 0.00 μB per cell

The structure in POSCAR format:
```
PPb2Br
1.0
2.061 1.190 7.797
-2.061 1.190 7.797
0.000 -2.380 7.797
P Pb Br
1 2 1
Direct
0.000 0.000 0.000
0.486 0.486 0.486
0.719 0.719 0.719
0.228 0.228 0.228
```


Entry x
The following is a meta-GGA SCAN calculation of a crystal of PPb2Br relaxed with PBEsol, from the Alexandria database.

Output
- V: 113 Å³/cell
- M_tot: 0.00 μB per cell

The structure in POSCAR format:
```
PPb2Br
1.0
2.107 1.217 7.340
-2.107 1.217 7.340
0.000 -2.433 7.340
P Pb Br
1 2 1
Direct
0.000 0.000 0.000
0.264 0.264 0.264
0.736 0.736 0.736
0.500 0.500 0.500
```


It is entry x that is the most stable of them.


Entry w
The following is a meta-GGA SCAN calculation of a crystal of P2SeBr relaxed with PBEsol, from the Alexandria database.

Output
- V: 92 Å³/cell
- M_tot: 0.00 μB per cell

The structure in POSCAR format:
```
P2SeBr
1.0
4.994 -1.631 0.000
4.994 1.631 0.000
-0.937 0.000 5.640
P Se Br
2 1 1
Direct
0.000 0.000 0.000
0.564 0.564 0.269
0.186 0.186 0.834
0.374 0.374 0.430
```


Entry x
The following is a meta-GGA SCAN calculation of a crystal of P2SeBr relaxed with PBEsol, from the Alexandria database.

Output
- V: 83 Å³/cell
- M_tot: 0.00 μB per cell

The structure in POSCAR format:
```
P2SeBr
1.0
3.427 0.000 0.000
0.000 3.750 0.000
0.000 0.000 6.474
P Se Br
2 1 1
Direct
0.000 0.000 0.000
0.500 0.000 0.500
0.000 0.500 0.500
0.500 0.500 0.000
```


It is entry w that is the most stable of them.